Computed, not measured: crystalline SmDyIn2 at its relaxed geometry at the PBE level of DFT.

Lattice parameters (Å, degrees): 3.787 3.787 7.571 90.00 90.00 90.00
Fractional coordinates of all 4 atoms:
Sm (0.000, 0.000, 0.000)
Dy (0.000, 0.000, 0.500)
In (0.500, 0.500, 0.258)
In (0.500, 0.500, 0.742)

Properties
For the total magnetic moment, the calculation gives 0.00 μB/f.u. The total DFT energy (no corrections) comes out at -4.177 eV per atom.